This record from Alexandria describes a geometry-optimized HfSnBi2As structure. The functional is PBE.

formation enthalpy at 0 K	468	meV per atom
SG	P4/mmm

Cell lengths 5.6548, 5.6548, 5.0133 Å; angles 90.00, 90.00, 90.00 degrees
Last column: nearest neighbours and their distance in Å.
Positions (direct):
Hf1 0.0000 0.0000 0.0000  2 As 2.51
Sn1 0.5000 0.5000 0.0000  8 Bi 3.78, 4 Hf 4.00
Bi1 0.0000 0.5000 0.5000  2 As 2.83
Bi2 0.5000 0.0000 0.5000  2 As 2.83
As1 0.0000 0.0000 0.5000  2 Hf 2.51